The following is a PBE+U calculation of an optimized crystal structure of Mn2Ag2F, from Alexandria.

abc: 3.7512 3.7512 14.6643
angles: 90.00 90.00 90.00
Space group I4/mmm (No. 139)
One atom of each set of equivalent atoms:
Mn (0.0000, 0.0000, 0.0999) x4
Ag (0.0000, 0.5000, 0.2500) x4
F (0.0000, 0.0000, 0.5000) x2

Properties
- energy above the most stable polymorph in this dataset (meV/atom) = 292
- size of the total moment (μB/f.u.) = 10.1